A geometry-optimized TaPdNO structure, computed with PBE.

Properties
Excess energy over the best structure of this formula in the dataset   0.1899 eV/atom
Total magnetization   0.0 μB per formula unit
Space-group type   Pmc2_1

Unit cell a=3.3763 b=5.6333 c=5.7320 alpha=90.00 beta=90.00 gamma=90.00
Sites, in units of the cell vectors:
Ta: 0.0000 0.4568 0.3455
O: 0.5000 0.4365 0.1671
Ta: 0.0000 0.9568 0.6545
O: 0.5000 0.9365 0.8329
Pd: 0.5000 0.5504 0.7498
Pd: 0.5000 0.0504 0.2502
N: 0.0000 0.8102 0.3481
N: 0.0000 0.3102 0.6519